Entry 1:
Compound: GaMoPS2
Source: Alexandria via LeMat-Bulk
Functional: GGA-PBE
Structure: relaxed

For the size of the total moment, the calculation gives 0.00 Bohr magnetons per cell. The raw formation energy comes out at 0.12 eV/atom. The total energy comes out at -5.38 eV/atom.

Cell lengths 4.743, 4.743, 4.738 Å; angles 90.00, 90.00, 90.00 degrees
Fractional positions:
Mo1 0.000 0.000 0.000
S1 0.500 0.000 0.000
S2 0.000 0.500 0.000
P1 0.000 0.000 0.500
Ga1 0.500 0.500 0.500

Entry 2:
Compound: K3BaNa8
Source: Alexandria via LeMat-Bulk
Functional: GGA-PBE
Structure: relaxed

For the size of the total moment, the calculation gives 0.00 Bohr magnetons per cell. The value obtained for the energy relative to the elements is 0 kJ per mole of atoms. The total energy comes out at -1.31 eV/atom.

Cell lengths 7.335, 7.335, 12.126 Å; angles 90.00, 90.00, 120.01 degrees
Fractional positions:
K1 0.000 0.000 0.939
K2 0.667 0.333 0.063
K3 0.667 0.333 0.433
Na1 0.333 0.667 0.002
Na2 0.672 0.836 0.253
Na3 0.997 0.499 0.747
Na4 0.501 0.499 0.747
Na5 0.501 0.003 0.747
Na6 0.164 0.836 0.253
Na7 0.164 0.328 0.253
Na8 0.333 0.667 0.500
Ba1 0.000 0.000 0.563

Entry 3:
Compound: Tb2Er2Sn
Source: Alexandria via LeMat-Bulk
Functional: GGA-PBE
Structure: relaxed

For the size of the total moment, the calculation gives 0.00 Bohr magnetons per cell. The value obtained for the energy relative to the elements is 16 kJ per mole of atoms. The total energy comes out at -4.31 eV/atom.

Cell lengths 4.314, 4.314, 9.025 Å; angles 103.83, 103.83, 90.00 degrees
Fractional positions:
Er1 0.750 0.250 0.500
Er2 0.250 0.750 0.500
Sn1 0.000 0.000 0.000
Tb1 0.587 0.587 0.175
Tb2 0.413 0.413 0.825

Entry 4:
Compound: Na2Ga9Cu6
Source: Alexandria via LeMat-Bulk
Functional: GGA-PBE
Structure: relaxed

For the size of the total moment, the calculation gives 0.00 Bohr magnetons per cell. The value obtained for the energy relative to the elements is 2 kJ per mole of atoms. The total energy comes out at -3.18 eV/atom.

Cell lengths 5.525, 5.525, 11.823 Å; angles 90.00, 90.00, 120.00 degrees
Fractional positions:
Ga1 0.000 0.500 0.836
Ga2 0.000 0.500 0.500
Ga3 0.500 0.500 0.164
Ga4 0.500 0.500 0.500
Ga5 0.500 0.500 0.836
Ga6 0.500 0.000 0.500
Ga7 0.500 0.000 0.836
Ga8 0.000 0.500 0.164
Ga9 0.500 0.000 0.164
Cu1 0.667 0.333 0.000
Cu2 0.667 0.333 0.668
Cu3 0.333 0.667 0.668
Cu4 0.667 0.333 0.332
Cu5 0.333 0.667 0.000
Cu6 0.333 0.667 0.332
Na1 0.000 0.000 0.333
Na2 0.000 0.000 0.667